Entry 1:
TcIrPd2 (PBE, relaxed); total DFT energy (no corrections) = -28.4 eV per cell
1.0
0.000 3.116 3.116
3.116 0.000 3.116
3.116 3.116 0.000
Tc Ir Pd
1 1 2
direct
0.000 0.000 0.000
0.250 0.250 0.250
0.500 0.500 0.500
0.750 0.750 0.750

Entry 2:
Te2IrPd (PBE, relaxed); total DFT energy (no corrections) = -17.8 eV per cell
1.0
0.000 3.425 3.425
3.425 0.000 3.425
3.425 3.425 0.000
Te Ir Pd
2 1 1
direct
0.000 0.000 0.000
0.250 0.250 0.250
0.750 0.750 0.750
0.500 0.500 0.500

Entry 3:
ThIr2Pd4 (PBE, relaxed); total DFT energy (no corrections) = -46.7 eV per cell
1.0
5.876 0.000 0.000
0.000 5.876 0.000
0.000 0.000 3.692
Th Ir Pd
1 2 4
direct
0.000 0.000 0.000
0.000 0.500 0.000
0.500 0.000 0.000
0.273 0.273 0.500
0.273 0.727 0.500
0.727 0.273 0.500
0.727 0.727 0.500

Entry 4:
ThIrPd (PBE, relaxed); polymorph energy (0 for the lowest one) = 0.00 eV/f.u.
1.0
0.000 3.273 3.273
3.273 0.000 3.273
3.273 3.273 0.000
Th Ir Pd
1 1 1
direct
0.000 0.000 0.000
0.250 0.250 0.250
0.500 0.500 0.500